Here is a relaxed structure of La3BCl from Alexandria. Energies are from PBE.

abc: 5.357 5.357 5.357
angles: 90.00 90.00 90.00
Element x y z (fractional)
B1 0.000 0.000 0.000
Cl1 0.500 0.500 0.500
La1 0.000 0.500 0.000
La2 0.000 0.000 0.500
La3 0.500 0.000 0.000

Values from the calculation:
Polymorph energy (0 for the lowest one) (kJ/mol of formula units): 0
Total magnetic moment (μB/atom): 0.00